1.
TaTiNbGa | PBE-GGA | optimized geometry

Lattice parameters (Å, degrees): 6.4891 6.4891 6.4891 90.00 90.00 90.00
With the nearest neighbours (Å) after each atom.
Element x y z (fractional)
Ta  0.0000  0.0000  0.0000  4 Nb 2.81, 4 Ga 2.81
Ta  0.0000  0.5000  0.5000  4 Nb 2.81, 4 Ga 2.81
Ta  0.5000  0.0000  0.5000  4 Nb 2.81, 4 Ga 2.81
Ta  0.5000  0.5000  0.0000  4 Nb 2.81, 4 Ga 2.81
Ti  0.0000  0.0000  0.5000  4 Nb 2.81, 4 Ga 2.81
Ti  0.0000  0.5000  0.0000  4 Nb 2.81, 4 Ga 2.81
Ti  0.5000  0.0000  0.0000  4 Nb 2.81, 4 Ga 2.81
Ti  0.5000  0.5000  0.5000  4 Nb 2.81, 4 Ga 2.81
Nb  0.2500  0.2500  0.7500  4 Ta 2.81, 4 Ti 2.81
Nb  0.2500  0.7500  0.2500  4 Ta 2.81, 4 Ti 2.81
Nb  0.7500  0.2500  0.2500  4 Ta 2.81, 4 Ti 2.81
Nb  0.7500  0.7500  0.7500  4 Ta 2.81, 4 Ti 2.81
Ga  0.2500  0.2500  0.2500  4 Ta 2.81, 4 Ti 2.81
Ga  0.2500  0.7500  0.7500  4 Ta 2.81, 4 Ti 2.81
Ga  0.7500  0.2500  0.7500  4 Ta 2.81, 4 Ti 2.81
Ga  0.7500  0.7500  0.2500  4 Ta 2.81, 4 Ti 2.81

Computed properties:
Space-group type   F-43m
Total DFT energy (no corrections)   -0.3070 hartree per atom
Volume   273 Å³/cell

---

2.
Ce2Nd3DyHo6 | PBE-GGA | optimized geometry

Lattice parameters (Å, degrees): 6.1786 6.1786 11.7395 95.03 95.03 119.98
With the nearest neighbours (Å) after each atom.
Element x y z (fractional)
Ce  0.1664  0.8336  0.0000  6 Ho 3.50-3.51, 3 Ce 3.56-3.57, 3 Dy 3.57
Ce  0.8336  0.1664  0.0000  6 Ho 3.50-3.51, 3 Ce 3.56-3.57, 3 Dy 3.57
Nd  0.0000  0.0000  0.5000  6 Nd 3.56-3.57, 6 Ho 3.58-3.59
Nd  0.3340  0.6660  0.5000  6 Nd 3.55-3.58, 6 Ho 3.58-3.59
Nd  0.6660  0.3340  0.5000  6 Nd 3.55-3.58, 6 Ho 3.58-3.59
Dy  0.5000  0.5000  0.0000  6 Ho 3.52, 6 Ce 3.57
Ho  0.0825  0.4179  0.7543  2 Ce 3.50-3.51, 1 Dy 3.52, 6 Ho 3.56-3.59, 3 Nd 3.58-3.59
Ho  0.2466  0.2466  0.2459  2 Ce 3.50, 1 Dy 3.52, 6 Ho 3.56-3.59, 3 Nd 3.58-3.59
Ho  0.4179  0.0825  0.7543  2 Ce 3.50-3.51, 1 Dy 3.52, 6 Ho 3.56-3.59, 3 Nd 3.58-3.59
Ho  0.5821  0.9175  0.2457  2 Ce 3.50-3.51, 1 Dy 3.52, 6 Ho 3.56-3.59, 3 Nd 3.58-3.59
Ho  0.7534  0.7534  0.7541  2 Ce 3.50, 1 Dy 3.52, 6 Ho 3.56-3.59, 3 Nd 3.58-3.59
Ho  0.9175  0.5821  0.2457  2 Ce 3.50-3.51, 1 Dy 3.52, 6 Ho 3.56-3.59, 3 Nd 3.58-3.59

Computed properties:
Space-group type   C2/m
Total DFT energy (no corrections)   -0.1767 hartree per atom
Volume   382 Å³/cell

---

Result set for magnetic moment: 0.000; 1.909 μB/cell, one per record in the order listed.